Sr2AgBiO PBE relaxed; excess energy over the best structure of this formula in the dataset = 0.000 eV per atom; formation energy (no corrections) = -0.22 eV/atom; magnetization = 0.00 μB per formula unit
1.0
6.403 0.000 0.000
0.000 4.543 0.000
0.000 0.000 6.403
O Sr Bi Ag
1 2 1 1
direct
0.000 0.500 0.000
0.000 0.000 0.500
0.500 0.000 0.000
0.000 0.000 0.000
0.500 0.500 0.500

HfCdSe PBE relaxed; formation energy (no corrections) = -0.46 eV/atom; magnetization = 0.00 μB per formula unit
1.0
-1.940 -2.144 -2.024
-0.433 -0.009 3.503
-18.333 18.680 -2.215
Cd Hf Se
4 4 4
direct
0.667 0.333 0.043
0.333 0.667 0.957
0.333 0.667 0.781
0.667 0.333 0.219
0.667 0.333 0.372
0.667 0.333 0.870
0.333 0.667 0.130
0.333 0.667 0.628
0.667 0.333 0.564
0.333 0.667 0.436
0.333 0.667 0.304
0.667 0.333 0.696

Sr2ReB PBE relaxed; energy relative to the elements = 0.60 eV per atom; magnetization = 0.84 μB per formula unit
1.0
10.920 0.000 0.000
0.000 10.920 0.000
5.460 5.460 2.057
Re B Sr
2 2 4
direct
0.000 0.000 0.000
0.750 0.250 0.500
0.500 0.500 0.000
0.250 0.750 0.500
0.437 0.125 0.250
0.313 0.625 0.250
0.375 0.563 0.750
0.875 0.687 0.750

CrSiIr PBE relaxed; formation energy (no corrections) = -0.20 eV/atom; magnetization = 1.47 μB per formula unit
1.0
3.792 0.000 0.000
0.000 3.792 0.000
0.000 0.000 5.937
Si Ir Cr
2 2 2
direct
0.000 0.500 0.730
0.500 0.000 0.270
0.500 0.500 0.000
0.000 0.000 0.000
0.500 0.000 0.668
0.000 0.500 0.332